Tc2PPb: relaxed, PBE.

Computed properties:
Total moment   0.0 μB/f.u.
Calculated total energy   -7.3363 eV/atom
ΔE to the lowest computed polymorph   120 meV per atom
Space-group type   P4mm
Energy relative to the elements   0.1263 eV per atom
DOS(E_F)   0.73 states/eV per atom

```
Tc2PPb
1.0
2.9764 0.0000 0.0000
0.0000 2.9764 0.0000
0.0000 0.0000 8.2323
Tc P Pb
2 1 1
Direct
0.0000 0.0000 0.0000
0.5000 0.5000 0.2060
0.0000 0.0000 0.3656
0.5000 0.5000 0.7272
```

=====

TcPPb2: relaxed, PBE.

Computed properties:
Total moment   0.8 μB/f.u.
Calculated total energy   -4.9670 eV/atom
Space-group type   F-43m
Energy relative to the elements   0.8311 eV per atom
DOS(E_F)   1.17 states/eV per atom

```
TcPPb2
1.0
0.0000 3.4898 3.4898
3.4898 0.0000 3.4898
3.4898 3.4898 0.0000
Tc P Pb
1 1 2
Direct
0.0000 0.0000 0.0000
0.2500 0.2500 0.2500
0.5000 0.5000 0.5000
0.7500 0.7500 0.7500
```

=====

TcPPb2: relaxed, PBE.

Computed properties:
Total moment   0.0 μB/f.u.
Calculated total energy   -5.7457 eV/atom
Space-group type   R3m
Energy relative to the elements   0.0525 eV per atom
DOS(E_F)   0.68 states/eV per atom

```
TcPPb2
1.0
1.6334 0.9430 9.7983
-1.6334 0.9430 9.7983
0.0000 -1.8860 9.7983
Tc P Pb
1 1 2
Direct
0.0000 0.0000 0.0000
0.2855 0.2855 0.2855
0.5242 0.5242 0.5242
0.7468 0.7468 0.7468
```

=====

Te2PPb: relaxed, PBE.

Computed properties:
Total moment   0.0 μB/f.u.
Calculated total energy   -3.7619 eV/atom
ΔE to the lowest computed polymorph   76 meV per atom
Space-group type   R-3m
Formation energy from raw total energies   88 meV/atom
DOS(E_F)   0.56 states/eV per atom

```
Te2PPb
1.0
2.0426 1.1793 7.8736
-2.0426 1.1793 7.8736
0.0000 -2.3586 7.8736
Te P Pb
2 1 1
Direct
0.2348 0.2348 0.2348
0.7652 0.7652 0.7652
0.5000 0.5000 0.5000
0.0000 0.0000 0.0000
```